Density functional theory data (PBE-GGA) for LaTlTe2N after structural relaxation.

abc: 5.8532 5.8532 4.3204
angles: 90.00 90.00 90.00
Fractional coordinates of all 5 atoms:
N  0.0000  0.0000  0.5000
La  0.5000  0.5000  0.5000
Te  0.0000  0.5000  0.0000
Te  0.5000  0.0000  0.0000
Tl  0.0000  0.0000  0.0000

Calculated values
volume = 29.6 A^3/atom
total magnetic moment = 1.126 Bohr magnetons per cell
symmetry = P4/mmm (123)
electronic total energy = -4.144 eV per atom